DFT (PBE) results for a relaxed PmSm2Ga crystal.

The distance to the lowest polymorph of the same formula comes out at 0.11 eV/f.u. For the electronic total energy, the calculation gives -4.537 eV/atom. Its size of the total moment is 0.0 μB/cell. Its density is 7.67 g cm⁻³.

Lattice parameters (Å, degrees): 4.820 4.820 4.804 90.00 90.00 90.00
Sites, in units of the cell vectors:
Pm1 0.000 0.000 0.000
Sm1 0.000 0.500 0.500
Sm2 0.500 0.000 0.500
Ga1 0.500 0.500 0.000